No. 1
IrRuNF2: optimized geometry, PBE-GGA.

Unit cell a=4.466 b=4.466 c=3.670 alpha=90.00 beta=90.00 gamma=90.00
Positions (direct):
Ir 0.000 0.000 0.000
Ru 0.500 0.500 0.500
N 0.000 0.000 0.500
F 0.000 0.500 0.000
F 0.500 0.000 0.000

Output
E in Ry per atom: -0.4096
SG: P4/mmm (123)
ΔE to the lowest computed polymorph in meV/atom: 0.0
Raw formation energy in eV/atom: 0.468


No. 2
Sc2TeAuCl: optimized geometry, PBE-GGA.

Unit cell a=5.346 b=5.346 c=5.277 alpha=90.00 beta=90.00 gamma=90.00
Positions (direct):
Sc 0.000 0.500 0.000
Sc 0.500 0.000 0.000
Te 0.000 0.000 0.500
Au 0.000 0.000 0.000
Cl 0.500 0.500 0.500

Output
E in Ry per atom: -0.3165
SG: P4/mmm (123)
Raw formation energy in eV/atom: -0.120


No. 3
BaBeSb3: optimized geometry, PBE-GGA.

Unit cell a=6.305 b=6.305 c=6.305 alpha=90.00 beta=90.00 gamma=90.00
Positions (direct):
Ba 0.000 0.000 0.000
Be 0.500 0.500 0.500
Sb 0.000 0.000 0.500
Sb 0.000 0.500 0.000
Sb 0.500 0.000 0.000

Output
E in Ry per atom: -0.1560
SG: Pm-3m (221)
ΔE to the lowest computed polymorph in meV/atom: 1596.1
Raw formation energy in eV/atom: 1.480